{"formula": "CoRuPt2", "functional": "meta-GGA SCAN", "state": "single point on PBEsol structure", "m_tot_mub_per_cell": 2.10, "formation_energy_ev_per_atom": 0.02, "polymorph_energy_mev_per_atom": 102, "total_energy_ev_per_atom": -48.1092, "dos_ef_per_ev_cell": 3.8, "cell": [[-2.493, 0.839, 0.502], [-0.759, -0.792, -2.444], [-1.720, -6.741, 2.719]], "species": ["Co", "Pt", "Pt", "Ru"], "fractional_positions": [[0.500, 0.500, 0.739], [0.000, 0.000, 0.980], [0.500, 0.500, 0.261], [0.000, 0.000, 0.521]]}